DFT (PBE-GGA) results for a geometry-optimized CsMg14W structure.

**Calculated density**: 2.83 g/cm3
**Magnetization**: 0.241 μB per cell
**Energy above the lowest structure with this stoichiometry**: 0 meV per atom
**ΔH_f (0 K)**: 0.32 eV per atom
**Symmetry**: No. 187

abc: 6.468 6.468 10.651
angles: 90.00 90.00 120.00
Fractional coordinates of all 16 atoms:
Cs 0.000 0.000 0.000
Mg 0.011 0.505 0.000
Mg 0.164 0.327 0.283
Mg 0.164 0.327 0.717
Mg 0.164 0.836 0.283
Mg 0.164 0.836 0.717
Mg 0.495 0.505 0.000
Mg 0.495 0.989 0.000
Mg 0.506 0.012 0.500
Mg 0.506 0.494 0.500
Mg 0.667 0.333 0.236
Mg 0.667 0.333 0.764
Mg 0.673 0.836 0.283
Mg 0.673 0.836 0.717
Mg 0.988 0.494 0.500
W 0.000 0.000 0.500